Density functional theory data (PBE-GGA) for a geometry-optimized RbAg4Bi structure.

The structure in POSCAR format:
```
RbAg4Bi
1.0
0.000 4.147 4.147
4.147 0.000 4.147
4.147 4.147 0.000
Rb Ag Bi
1 4 1
direct
0.000 0.000 0.000
0.125 0.625 0.625
0.625 0.125 0.625
0.625 0.625 0.125
0.625 0.625 0.625
0.250 0.250 0.250
```

Output
SG = F-43m, No. 216
DOS(E_F) = 1.41 states/eV/f.u.
Formation energy from the elements = 34 meV per atom
Total magnetic moment = 0.0 μB per cell